1.
Compound: Tb2PmYEr2
Source: the Alexandria database
Functional: PBE
Structure: optimized geometry

Cell: 6.9485 16.1476 3.5070 Å, 90.00 90.00 90.00°
Atoms (fractional coordinates):
Tb 0.2494 0.1587 0.0000
Tb 0.2506 0.6587 0.5000
Tb 0.7494 0.3413 0.5000
Tb 0.7506 0.8413 0.0000
Pm 0.0000 0.5000 0.0000
Pm 0.5000 0.0000 0.5000
Y 0.0000 0.0000 0.5000
Y 0.5000 0.5000 0.0000
Er 0.2491 0.3444 0.5000
Er 0.2509 0.8444 0.0000
Er 0.7491 0.1556 0.0000
Er 0.7509 0.6556 0.5000

Values from the calculation:
Energy relative to the elements = 0.16 eV/atom

2.
Compound: In2Sn2Hg3
Source: the Alexandria database
Functional: PBE
Structure: optimized geometry

Cell: 3.2477 10.5176 11.8490 Å, 90.00 105.21 90.00°
Atoms (fractional coordinates):
In 0.0906 0.2410 0.0758
In 0.0906 0.2590 0.5758
In 0.9094 0.7410 0.4242
In 0.9094 0.7590 0.9242
Sn 0.1944 0.6191 0.7175
Sn 0.1944 0.8809 0.2175
Sn 0.8056 0.1191 0.7825
Sn 0.8056 0.3809 0.2825
Hg 0.1500 0.0957 0.3747
Hg 0.1500 0.4043 0.8747
Hg 0.5000 0.0000 0.0000
Hg 0.5000 0.5000 0.5000
Hg 0.8500 0.5957 0.1253
Hg 0.8500 0.9043 0.6253

Values from the calculation:
Energy relative to the elements = 0.05 eV/atom

3.
Compound: RbBi3S
Source: the Alexandria database
Functional: PBE
Structure: optimized geometry

Cell: 5.6213 5.6213 5.6213 Å, 90.00 90.00 90.00°
Atoms (fractional coordinates):
Rb 0.0000 0.0000 0.0000
Bi 0.0000 0.5000 0.5000
Bi 0.5000 0.0000 0.5000
Bi 0.5000 0.5000 0.0000
S 0.5000 0.5000 0.5000

Values from the calculation:
Formation energy from raw total energies = 12.0 kJ per mole of atoms

4.
Compound: UReIr2
Source: the Alexandria database
Functional: PBE
Structure: optimized geometry

Cell: 9.8273 9.8273 9.8273 Å, 16.26 16.26 16.26°
Atoms (fractional coordinates):
U 0.0000 0.0000 0.0000
Re 0.5000 0.5000 0.5000
Ir 0.2427 0.2427 0.2427
Ir 0.7573 0.7573 0.7573

Values from the calculation:
Energy relative to the elements = -0.06 eV/atom
Excess energy over the best structure of this formula in the dataset = 395 meV per atom

5.
Compound: CaCuNi3
Source: the Alexandria database
Functional: PBE
Structure: optimized geometry

Cell: 4.4075 4.4075 4.4075 Å, 90.00 90.00 90.00°
Atoms (fractional coordinates):
Ca 0.0000 0.0000 0.0000
Cu 0.5000 0.5000 0.5000
Ni 0.0000 0.5000 0.5000
Ni 0.5000 0.0000 0.5000
Ni 0.5000 0.5000 0.0000

Values from the calculation:
Energy relative to the elements = 0.48 eV/atom
Excess energy over the best structure of this formula in the dataset = 0 meV per atom

6.
Compound: KLa2Mn
Source: the Alexandria database
Functional: PBE
Structure: optimized geometry

Cell: 9.7504 9.7504 9.7504 Å, 159.43 151.65 35.29°
Atoms (fractional coordinates):
K 0.0000 0.0000 0.0000
La 0.3246 0.8246 0.5000
La 0.6819 0.6819 0.0000
Mn 0.8112 0.3112 0.5000

Values from the calculation:
Energy relative to the elements = 0.46 eV/atom
Excess energy over the best structure of this formula in the dataset = 192 meV per atom

7.
Compound: BeTeBr
Source: the Alexandria database
Functional: PBE
Structure: optimized geometry

Cell: 8.5194 8.0136 3.7216 Å, 84.72 69.49 25.78°
Atoms (fractional coordinates):
Be 0.0000 0.0000 0.0000
Te 0.6254 0.6254 0.3746
Br 0.4031 0.4031 0.5969

Values from the calculation:
Formation energy from raw total energies = -13.1 kJ per mole of atoms
Excess energy over the best structure of this formula in the dataset = 349 meV per atom

8.
Compound: NdSm5Y2
Source: the Alexandria database
Functional: PBE
Structure: optimized geometry

Cell: 6.3588 6.8850 12.4466 Å, 85.65 89.98 89.95°
Atoms (fractional coordinates):
Nd 0.1674 0.4430 0.1866
Nd 0.8326 0.5570 0.8134
Sm 0.1654 0.6877 0.4373
Sm 0.1649 0.9356 0.6889
Sm 0.3342 0.1865 0.4375
Sm 0.3338 0.9425 0.1866
Sm 0.3351 0.4351 0.6883
Sm 0.6649 0.5649 0.3117
Sm 0.6662 0.0575 0.8134
Sm 0.6658 0.8135 0.5625
Sm 0.8351 0.0644 0.3111
Sm 0.8346 0.3123 0.5627
Y 0.1680 0.1854 0.9384
Y 0.3325 0.6867 0.9386
Y 0.6675 0.3133 0.0614
Y 0.8320 0.8146 0.0616

Values from the calculation:
Energy relative to the elements = 0.02 eV/atom
Excess energy over the best structure of this formula in the dataset = 6 meV per atom